[1]
First-principles (GGA-PBE) data for a relaxed CsTlVS3 crystal, as listed in Alexandria.

Unit cell a=7.290 b=15.000 c=6.731 alpha=90.00 beta=90.58 gamma=90.00
Space group C2/c (No. 15)
Inequivalent atoms, fractional coordinates:
Cs  0.000  0.230  0.250 x4
Tl  0.000  0.411  0.750 x4
V  0.000  0.050  0.750 x4
S  0.000  0.194  0.750 x4
S  0.206  0.001  0.500 x8

## Properties
**Total DFT energy (no corrections)**: -4.97 eV/atom

[2]
First-principles (GGA-PBE) data for a relaxed AcPmTe2N crystal, as listed in Alexandria.

Unit cell a=4.519 b=4.519 c=15.924 alpha=90.00 beta=90.00 gamma=90.00
Space group P4/nmm (No. 129, origin choice 2)
Inequivalent atoms, fractional coordinates:
Ac  0.250  0.250  0.139 x2
Pm  0.250  0.250  0.555 x2
Te  0.250  0.250  0.334 x2
Te  0.250  0.250  0.913 x2
N  0.250  0.750  0.500 x2

## Properties
**Total DFT energy (no corrections)**: -5.79 eV/atom
**DOS(E_F)**: 2.999 states/eV per cell

[3]
First-principles (GGA-PBE) data for a relaxed BaIn3Pb3 crystal, as listed in Alexandria.

Unit cell a=8.1557 b=8.1557 c=24.1678 alpha=90.00 beta=90.00 gamma=120.00
Space group R-3m (No. 166, hexagonal axes)
Inequivalent atoms, fractional coordinates:
Ba  0.0000  0.0000  0.1060 x6
In  0.0821  0.5410  0.3438 x18
Pb  0.0520  0.5260  0.1076 x18

## Properties
**ΔE_f**: -0.1769 eV per atom
**Total DFT energy (no corrections)**: -3.21 eV/atom
**DOS(E_F)**: 18.604 states/eV per cell
**Offset from the most stable computed form**: 0.000 eV/atom

[4]
First-principles (GGA-PBE) data for a relaxed BaTl3Ag2 crystal, as listed in Alexandria.

Unit cell a=11.320 b=9.706 c=6.275 alpha=90.00 beta=90.00 gamma=90.00
Space group Cmcm (No. 63)
Inequivalent atoms, fractional coordinates:
Ba  0.000  0.151  0.250 x4
Tl  0.000  0.493  0.750 x4
Tl  0.165  0.229  0.750 x8
Ag  0.236  0.500  0.000 x8

## Properties
**ΔE_f**: -0.1174 eV per atom
**Total DFT energy (no corrections)**: -2.57 eV/atom
**DOS(E_F)**: 10.644 states/eV per cell
**Offset from the most stable computed form**: 0.028 eV/atom

[5]
First-principles (GGA-PBE) data for a relaxed ZnSiP2 crystal, as listed in Alexandria.

Unit cell a=3.429 b=3.860 c=9.782 alpha=90.00 beta=90.00 gamma=90.00
Space group Immm (No. 71)
Inequivalent atoms, fractional coordinates:
Zn  0.000  0.000  0.000 x2
Si  0.000  0.000  0.500 x2
P  0.000  0.500  0.177 x4

## Properties
**Total DFT energy (no corrections)**: -4.02 eV/atom
**DOS(E_F)**: 2.815 states/eV per cell
**Offset from the most stable computed form**: 0.673 eV/atom

[6]
First-principles (GGA-PBE) data for a relaxed Dy2Pb2O7 crystal, as listed in Alexandria.

Unit cell a=10.768 b=10.768 c=10.768 alpha=90.00 beta=90.00 gamma=90.00
Space group Fd-3m (No. 227, origin choice 2)
Inequivalent atoms, fractional coordinates:
Dy  0.000  0.000  0.000 x16
Pb  0.000  0.000  0.500 x16
O  0.099  0.375  0.875 x48
O  0.125  0.125  0.125 x8

## Properties
**Total DFT energy (no corrections)**: -6.77 eV/atom

[7]
First-principles (GGA-PBE) data for a relaxed Ba4Bi2Rh crystal, as listed in Alexandria.

Unit cell a=5.660 b=5.660 c=18.656 alpha=90.00 beta=90.00 gamma=90.00
Space group I4/mmm (No. 139)
Inequivalent atoms, fractional coordinates:
Ba  0.000  0.000  0.176 x4
Ba  0.000  0.500  0.000 x4
Bi  0.000  0.000  0.365 x4
Rh  0.000  0.000  0.000 x2

## Properties
**ΔE_f**: -0.5978 eV per atom
**Total DFT energy (no corrections)**: -3.86 eV/atom
**DOS(E_F)**: 9.617 states/eV per cell

[8]
First-principles (GGA-PBE) data for a relaxed VGa2Tc crystal, as listed in Alexandria.

Unit cell a=2.8292 b=2.8292 c=25.5080 alpha=90.00 beta=90.00 gamma=120.00
Space group R3m (No. 160, hexagonal axes)
Inequivalent atoms, fractional coordinates:
V  0.0000  0.0000  0.0000 x3
Ga  0.0000  0.0000  0.5822 x3
Ga  0.0000  0.0000  0.7500 x3
Tc  0.0000  0.0000  0.1660 x3

## Properties
**ΔE_f**: -0.0476 eV per atom
**Total DFT energy (no corrections)**: -6.43 eV/atom
**DOS(E_F)**: 16.033 states/eV per cell
**Offset from the most stable computed form**: 0.026 eV/atom

[9]
First-principles (GGA-PBE) data for a relaxed ZnPPdPb2 crystal, as listed in Alexandria.

Unit cell a=5.303 b=5.303 c=4.659 alpha=90.00 beta=90.00 gamma=90.00
Space group P4/mmm (No. 123)
Inequivalent atoms, fractional coordinates:
Zn  0.000  0.000  0.000 x1
P  0.500  0.500  0.500 x1
Pd  0.000  0.000  0.500 x1
Pb  0.000  0.500  0.000 x2

## Properties
**ΔE_f**: 0.6303 eV per atom
**Total DFT energy (no corrections)**: -3.23 eV/atom
**DOS(E_F)**: 3.475 states/eV per cell

[10]
First-principles (GGA-PBE) data for a relaxed SbTe2HAu crystal, as listed in Alexandria.

Unit cell a=5.588 b=5.588 c=5.353 alpha=90.00 beta=90.00 gamma=90.00
Space group P4/mmm (No. 123)
Inequivalent atoms, fractional coordinates:
Sb  0.000  0.000  0.000 x1
Te  0.000  0.500  0.500 x2
H  0.500  0.500  0.000 x1
Au  0.000  0.000  0.500 x1

## Properties
**Total DFT energy (no corrections)**: -2.48 eV/atom
**DOS(E_F)**: 4.722 states/eV per cell
**Offset from the most stable computed form**: 0.397 eV/atom

[11]
First-principles (GGA-PBE) data for a relaxed La2CoSnAu crystal, as listed in Alexandria.

Unit cell a=5.317 b=5.317 c=4.778 alpha=90.00 beta=90.00 gamma=90.00
Space group P4/mmm (No. 123)
Inequivalent atoms, fractional coordinates:
La  0.000  0.500  0.000 x2
Co  0.000  0.000  0.000 x1
Sn  0.000  0.000  0.500 x1
Au  0.500  0.500  0.500 x1

## Properties
**ΔE_f**: -0.4492 eV per atom
**Total DFT energy (no corrections)**: -5.30 eV/atom
**DOS(E_F)**: 4.739 states/eV per cell

[12]
First-principles (GGA-PBE) data for a relaxed K2MgAgF6 crystal, as listed in Alexandria.

Unit cell a=4.194 b=4.194 c=8.731 alpha=90.00 beta=90.00 gamma=90.00
Space group P4/mmm (No. 123)
Inequivalent atoms, fractional coordinates:
K  0.000  0.000  0.230 x2
Mg  0.500  0.500  0.000 x1
Ag  0.500  0.500  0.500 x1
F  0.000  0.500  0.000 x2
F  0.000  0.500  0.500 x2
F  0.500  0.500  0.226 x2

## Properties
**Total DFT energy (no corrections)**: -4.34 eV/atom
**DOS(E_F)**: 2.350 states/eV per cell

[13]
First-principles (GGA-PBE) data for a relaxed KTcO3 crystal, as listed in Alexandria.

Unit cell a=4.169 b=4.169 c=4.169 alpha=90.00 beta=90.00 gamma=90.00
Space group Pm-3m (No. 221)
Inequivalent atoms, fractional coordinates:
K  0.000  0.000  0.000 x1
Tc  0.500  0.500  0.500 x1
O  0.000  0.000  0.500 x3

## Properties
**Total DFT energy (no corrections)**: -3.84 eV/atom
**DOS(E_F)**: 7.915 states/eV per cell

[14]
First-principles (GGA-PBE) data for a relaxed Ca2Ru2Pt crystal, as listed in Alexandria.

Unit cell a=6.683 b=6.683 c=4.607 alpha=90.00 beta=90.00 gamma=90.00
Space group P4/mbm (No. 127)
Inequivalent atoms, fractional coordinates:
Ca  0.182  0.318  0.000 x4
Ru  0.121  0.621  0.500 x4
Pt  0.000  0.000  0.500 x2

## Properties
**ΔE_f**: -0.0721 eV per atom
**Total DFT energy (no corrections)**: -5.79 eV/atom
**DOS(E_F)**: 7.125 states/eV per cell

[15]
First-principles (GGA-PBE) data for a relaxed KCaNO2 crystal, as listed in Alexandria.

Unit cell a=4.308 b=4.308 c=4.126 alpha=90.00 beta=90.00 gamma=90.00
Space group P4/mmm (No. 123)
Inequivalent atoms, fractional coordinates:
K  0.000  0.000  0.000 x1
Ca  0.500  0.500  0.000 x1
N  0.500  0.500  0.500 x1
O  0.000  0.500  0.500 x2

## Properties
**Total DFT energy (no corrections)**: -4.17 eV/atom
**DOS(E_F)**: 2.499 states/eV per cell

[16]
First-principles (GGA-PBE) data for a relaxed SiAu2Cl crystal, as listed in Alexandria.

Unit cell a=2.966 b=4.639 c=11.245 alpha=90.00 beta=90.00 gamma=90.00
Space group Immm (No. 71)
Inequivalent atoms, fractional coordinates:
Si  0.000  0.000  0.000 x2
Au  0.000  0.500  0.304 x4
Cl  0.000  0.000  0.500 x2

## Properties
**Total DFT energy (no corrections)**: -3.30 eV/atom
**DOS(E_F)**: 3.219 states/eV per cell
**Offset from the most stable computed form**: 0.234 eV/atom

[17]
First-principles (GGA-PBE) data for a relaxed Ba2TlSe crystal, as listed in Alexandria.

Unit cell a=4.097 b=5.856 c=5.990 alpha=90.00 beta=90.00 gamma=90.00
Space group Pmmm (No. 47)
Inequivalent atoms, fractional coordinates:
Ba  0.000  0.000  0.000 x1
Ba  0.000  0.500  0.500 x1
Tl  0.500  0.000  0.500 x1
Se  0.500  0.500  0.000 x1

## Properties
**Total DFT energy (no corrections)**: -3.36 eV/atom
**DOS(E_F)**: 2.802 states/eV per cell
**Offset from the most stable computed form**: 0.140 eV/atom

[18]
First-principles (GGA-PBE) data for a relaxed LaPr2Y crystal, as listed in Alexandria.

Unit cell a=4.318 b=4.318 c=7.629 alpha=90.00 beta=90.00 gamma=90.00
Space group P4/mmm (No. 123)
Inequivalent atoms, fractional coordinates:
La  0.000  0.000  0.000 x1
Pr  0.500  0.500  0.261 x2
Y  0.000  0.000  0.500 x1

## Properties
**ΔE_f**: 0.1063 eV per atom
**Total DFT energy (no corrections)**: -5.13 eV/atom
**DOS(E_F)**: 9.515 states/eV per cell
**Offset from the most stable computed form**: 0.096 eV/atom

[19]
First-principles (GGA-PBE) data for a relaxed KBa2NiMo crystal, as listed in Alexandria.

Unit cell a=6.319 b=6.319 c=4.829 alpha=90.00 beta=90.00 gamma=90.00
Space group P4/mmm (No. 123)
Inequivalent atoms, fractional coordinates:
K  0.000  0.000  0.000 x1
Ba  0.000  0.500  0.500 x2
Ni  0.500  0.500  0.500 x1
Mo  0.500  0.500  0.000 x1

## Properties
**ΔE_f**: 0.6836 eV per atom
**Total DFT energy (no corrections)**: -3.63 eV/atom
**DOS(E_F)**: 6.007 states/eV per cell

[20]
First-principles (GGA-PBE) data for a relaxed Tm2PtBr2 crystal, as listed in Alexandria.

Unit cell a=6.823 b=3.939 c=11.601 alpha=90.00 beta=102.45 gamma=90.00
Space group C2/m (No. 12)
Inequivalent atoms, fractional coordinates:
Tm  0.219  0.000  0.143 x4
Pt  0.000  0.500  0.000 x2
Br  0.052  0.000  0.689 x4

## Properties
**Total DFT energy (no corrections)**: -5.17 eV/atom
**DOS(E_F)**: 2.613 states/eV per cell

Number 1: total moment 0.167 μB/atom. Number 2: total moment 0.210 μB/atom. Number 3: total moment 0.000 μB/atom. Number 4: total moment 0.000 μB/atom. Number 5: total moment 0.000 μB/atom. Number 6: total moment 0.000 μB/atom. Number 7: total moment 0.000 μB/atom. Number 8: total moment 0.001 μB/atom. Number 9: total moment 0.000 μB/atom. Number 10: total moment 0.212 μB/atom. Number 11: total moment 0.000 μB/atom. Number 12: total moment 0.000 μB/atom. Number 13: total moment 0.840 μB/atom. Number 14: total moment 0.000 μB/atom. Number 15: total moment 0.000 μB/atom. Number 16: total moment 0.000 μB/atom. Number 17: total moment 0.000 μB/atom. Number 18: total moment 0.000 μB/atom. Number 19: total moment 0.486 μB/atom. Number 20: total moment 0.000 μB/atom.